No. 1
DFT (PBEsol) results for a relaxed Li2MnV3O8 crystal.

extended XYZ file:
```
56
Lattice="8.1522 0.0000 0.0000 0.0000 8.1522 0.0000 0.0000 0.0000 8.1522" Properties=species:S:1:pos:R:3 pbc="T T T"
Li 0.0399 0.0399 0.0399
Li 1.9695 1.9695 1.9695
Li 2.1066 6.1827 6.0456
Li 4.0362 8.1124 4.1160
Li 4.1160 4.0362 8.1124
Li 6.0456 2.1066 6.1827
Li 6.1827 6.0456 2.1066
Li 8.1124 4.1160 4.0362
Mn 1.0489 7.1033 3.0272
Mn 3.0272 1.0489 7.1033
Mn 5.1250 5.1250 5.1250
Mn 7.1033 3.0272 1.0489
V 0.9379 1.0390 5.0646
V 0.9885 3.1382 7.1132
V 1.0390 5.0646 0.9379
V 3.0371 3.0877 5.0140
V 3.0877 5.0140 3.0371
V 3.1382 7.1132 0.9885
V 5.0140 3.0371 3.0877
V 5.0646 0.9379 1.0390
V 5.1151 7.1638 7.2143
V 7.1132 0.9885 3.1382
V 7.1638 7.2143 5.1151
V 7.2143 5.1151 7.1638
O 0.9005 3.1320 0.9042
O 0.9042 0.9005 3.1320
O 0.9441 7.2481 4.9766
O 1.0134 5.0895 7.1388
O 1.0809 2.9952 5.1570
O 1.1106 1.1532 7.0163
O 1.1359 5.1867 2.9229
O 1.1532 7.0163 1.1106
O 2.9229 1.1359 5.1867
O 2.9402 2.9656 6.9991
O 2.9656 6.9991 2.9402
O 2.9952 5.1570 1.0809
O 3.0627 3.0627 3.0627
O 3.1320 0.9042 0.9005
O 3.1720 7.2517 7.2081
O 3.1756 5.0202 4.9803
O 4.9766 0.9441 7.2481
O 4.9803 3.1756 5.0202
O 5.0202 4.9803 3.1756
O 5.0895 7.1388 1.0134
O 5.1570 1.0809 2.9952
O 5.1867 2.9229 1.1359
O 5.2120 7.0417 5.2293
O 5.2293 5.2120 7.0417
O 6.9991 2.9402 2.9656
O 7.0163 1.1106 1.1532
O 7.0417 5.2293 5.2120
O 7.0714 7.0714 7.0714
O 7.1388 1.0134 5.0895
O 7.2081 3.1720 7.2517
O 7.2481 4.9766 0.9441
O 7.2517 7.2081 3.1720
```



No. 2
DFT (PBEsol) results for a relaxed Li2Mn3VO8 crystal.

extended XYZ file:
```
28
Lattice="5.6434 0.0000 0.0000 -2.8217 4.8873 0.0000 0.0000 0.0000 9.3568" Properties=species:S:1:pos:R:3 pbc="T T T"
Li 0.0000 0.0000 0.0000
Li 0.0000 0.0000 4.6784
Li 0.0000 3.2582 3.7688
Li 2.8217 1.6291 8.4472
Mn 0.0000 1.6624 6.7248
Mn -1.3820 4.0561 6.7248
Mn 1.4397 0.8312 2.0464
Mn 1.3820 4.0561 6.7248
Mn 4.2037 0.8312 2.0464
Mn 2.8217 3.2249 2.0464
V 0.0000 3.2582 9.3136
V 2.8217 1.6291 4.6352
O 0.0000 0.0000 2.9425
O 0.0000 0.0000 7.6209
O -1.2484 2.5375 7.8888
O 0.0000 1.6227 0.9600
O -1.4164 4.0760 0.9600
O 1.4053 0.8114 5.6384
O 0.0000 3.2582 5.7189
O 1.2484 2.5375 7.8888
O 0.0000 4.6997 7.8888
O 2.8217 0.1876 3.2104
O 1.5733 2.3499 3.2104
O 2.8217 1.6291 1.0405
O 1.4164 4.0760 0.9600
O 4.2381 0.8114 5.6384
O 2.8217 3.2646 5.6384
O 4.0701 2.3499 3.2104
```



No. 3
DFT (PBEsol) results for a relaxed Li2MnV3O8 crystal.

extended XYZ file:
```
14
Lattice="2.8533 1.6474 4.8140 -2.8533 1.6474 4.8140 0.0000 -3.2947 4.8140" Properties=species:S:1:pos:R:3 pbc="T T T"
Li 0.0000 0.0000 1.8365
Li 0.0000 0.0000 12.6055
Mn 0.0000 0.0000 7.2210
V -1.4267 -0.8237 4.8140
V -1.4267 0.8237 9.6280
V 0.0000 1.6474 4.8140
O 0.0000 0.0000 3.7607
O 0.0000 -1.4953 5.9689
O -1.2950 0.7477 5.9689
O -1.2950 -0.7477 8.4731
O 1.2950 0.7477 5.9689
O 1.2950 -0.7477 8.4731
O 0.0000 1.4953 8.4731
O 0.0000 0.0000 10.6813
```



No. 4
DFT (PBEsol) results for a relaxed Li2MnVO4 crystal.

extended XYZ file:
```
24
Lattice="5.1041 0.0000 0.0000 0.2145 5.7701 0.0000 2.1772 1.0580 7.0628" Properties=species:S:1:pos:R:3 pbc="T T T"
Li 0.8080 2.7329 2.3238
Li 1.4689 1.1806 4.6665
Li 2.2408 2.5326 7.0126
Li 5.2550 4.2954 0.0502
Li 6.0268 5.6474 2.3963
Li 6.6878 4.0951 4.7390
Mn 4.1249 5.3852 4.7310
Mn 2.5520 0.0000 0.0000
Mn 3.3709 1.4428 2.3318
V 3.3764 4.1079 2.3868
V 2.6593 2.8850 0.0000
V 4.1194 2.7201 4.6760
O 3.2167 3.9178 5.9630
O 1.8269 4.1795 1.2297
O 2.6100 5.4776 3.5886
O 2.5143 2.7072 3.5195
O 1.8167 1.3820 1.1331
O 3.2726 1.1572 5.7911
O 4.2232 5.6708 1.2717
O 5.6791 5.4460 5.9297
O 4.9815 4.1208 3.5433
O 4.8858 1.3504 3.4742
O 5.6689 2.6485 5.8331
O 4.2791 2.9102 1.0998
```



No. 5
DFT (PBEsol) results for a relaxed Li5Mn3V2O10 crystal.

extended XYZ file:
```
20
Lattice="5.0468 0.0000 0.0000 -0.7927 5.0324 0.0000 -2.3690 -2.0912 6.7540" Properties=species:S:1:pos:R:3 pbc="T T T"
Li 0.0000 0.0000 0.0000
Li -1.5536 0.5715 6.1490
Li 0.8755 1.9191 1.9207
Li 1.0096 1.0222 4.8333
Li 3.4387 2.3698 0.6050
Mn -1.5808 1.4706 3.3770
Mn 0.1314 -0.8147 2.6324
Mn 1.7537 3.7559 4.1217
V 0.2101 -1.6784 5.4488
V 1.6750 4.6196 1.3052
O -2.3486 2.2938 4.9876
O 0.0635 3.5431 1.0230
O -0.5880 -0.2264 4.3630
O -0.0204 2.6345 3.6274
O 1.7929 1.0959 0.3549
O 0.0922 1.8454 6.3991
O 1.9055 0.3067 3.1266
O 2.4731 3.1676 2.3911
O 1.8216 -0.6019 5.7310
O 4.2337 0.6474 1.7664
```



No. 6
DFT (PBEsol) results for a relaxed Li2Mn3VO8 crystal.

extended XYZ file:
```
14
Lattice="2.8561 1.6490 4.7160 -2.8561 1.6490 4.7160 0.0000 -3.2980 4.7160" Properties=species:S:1:pos:R:3 pbc="T T T"
Li 0.0000 0.0000 1.7615
Li 0.0000 0.0000 12.3864
Mn -1.4281 -0.8245 4.7160
Mn -1.4281 0.8245 9.4320
Mn 0.0000 1.6490 4.7160
V 0.0000 0.0000 7.0740
O 0.0000 -1.4854 5.8214
O -1.2864 0.7427 5.8214
O 0.0000 0.0000 3.7111
O -1.2864 -0.7427 8.3265
O 1.2864 0.7427 5.8214
O 0.0000 0.0000 10.4368
O 1.2864 -0.7427 8.3265
O 0.0000 1.4854 8.3265
```



No. 7
DFT (PBEsol) results for a relaxed Li4MnVW2O12 crystal.

extended XYZ file:
```
20
Lattice="5.0065 0.0000 0.0000 -0.0035 5.2599 0.0000 -0.0007 -0.4906 7.2683" Properties=species:S:1:pos:R:3 pbc="T T T"
Li 0.0000 0.0000 0.0000
Li 0.0056 -0.2406 3.5657
Li 2.4821 2.5821 0.0195
Li 2.5047 2.3380 3.5722
Mn 2.4996 0.2638 1.5027
V 4.9980 2.5636 5.2504
W 0.0146 2.8909 1.5947
W 2.4941 -0.0529 5.1427
O 0.5771 2.8233 3.3570
O 0.9244 4.2501 5.5348
O 0.9901 1.3470 1.0605
O 1.5111 3.9866 1.0641
O 1.5212 1.6435 5.5372
O 1.9454 0.2017 3.3185
O 3.0670 -0.0546 6.9553
O 3.4434 1.8707 1.8843
O 3.4894 3.6903 4.6980
O 4.0309 4.5122 1.8809
O 4.0478 1.1003 4.7239
O 4.4275 2.5565 6.9249
```



No. 8
DFT (PBEsol) results for a relaxed Li4MnV2WO12 crystal.

extended XYZ file:
```
20
Lattice="4.9725 0.0000 0.0000 -0.0019 5.2512 0.0000 -0.0051 -0.5553 7.1960" Properties=species:S:1:pos:R:3 pbc="T T T"
Li 0.0000 0.0000 0.0000
Li -0.0002 -0.1702 3.8636
Li 2.5138 2.4302 3.8789
Li 2.5656 2.2178 7.1090
Mn 0.0184 2.6483 5.2800
V 0.0182 2.8200 1.6725
V 2.5046 0.0138 5.3184
W 2.5351 0.2635 1.6821
O 0.5748 2.9301 3.3028
O 0.9444 1.4554 1.1242
O 1.0245 4.3826 5.5669
O 1.5414 1.7589 5.5354
O 1.6015 4.0667 1.1131
O 1.8913 0.3245 3.3793
O 3.0877 0.1076 7.0016
O 3.4328 2.0833 1.9917
O 3.4890 3.9319 4.7860
O 3.9699 1.2760 4.7607
O 4.1249 4.7059 2.0061
O 4.4514 2.7280 7.0056
```



no.,VASP energy (eV/atom),M_tot (μB per atom)
1,-8.26,0.477
2,-8.00,0.688
3,-8.26,0.479
4,-7.59,0.252
5,-7.54,0.400
6,-8.02,0.639
7,-8.04,0.132
8,-7.83,0.150